Record 1
Compound: TbCe4Se6
Source: Alexandria via LeMat-Bulk
Functional: PBE
Structure: relaxed

Cell lengths 8.348, 8.348, 8.348 Å; angles 90.82, 90.82, 90.82 degrees
Atoms (fractional coordinates):
1 Tb 0.000 0.000 0.000
2 Tb 0.500 0.500 0.500
3 Ce 0.134 0.750 0.366
4 Ce 0.250 0.250 0.250
5 Ce 0.250 0.634 0.866
6 Ce 0.366 0.134 0.750
7 Ce 0.634 0.866 0.250
8 Ce 0.750 0.366 0.134
9 Ce 0.750 0.750 0.750
10 Ce 0.866 0.250 0.634
11 Se 0.060 0.914 0.681
12 Se 0.086 0.319 0.940
13 Se 0.181 0.414 0.560
14 Se 0.319 0.940 0.086
15 Se 0.414 0.560 0.181
16 Se 0.440 0.819 0.586
17 Se 0.560 0.181 0.414
18 Se 0.586 0.440 0.819
19 Se 0.681 0.060 0.914
20 Se 0.819 0.586 0.440
21 Se 0.914 0.681 0.060
22 Se 0.940 0.086 0.319

Properties
Space group: R-3c (167)
Energy relative to the elements, uncorrected in eV/atom: -1.703
Electronic total energy in eV/atom: -6.18
Crystal system: trigonal

---

Record 2
Compound: CuPt4Se
Source: Alexandria via LeMat-Bulk
Functional: PBE
Structure: relaxed

Cell lengths 5.287, 5.287, 5.287 Å; angles 60.00, 60.00, 60.00 degrees
Atoms (fractional coordinates):
1 Cu 0.000 0.000 0.000
2 Pt 0.375 0.375 0.375
3 Pt 0.375 0.375 0.875
4 Pt 0.375 0.875 0.375
5 Pt 0.875 0.375 0.375
6 Se 0.750 0.750 0.750

Properties
Space group: F-43m (216)
Energy relative to the elements, uncorrected in eV/atom: 0.376
Electronic total energy in eV/atom: -4.91
Crystal system: cubic

---

Record 3
Compound: BeTcPt2
Source: Alexandria via LeMat-Bulk
Functional: PBE
Structure: relaxed

Cell lengths 4.833, 4.833, 4.833 Å; angles 140.76, 129.14, 66.06 degrees
Atoms (fractional coordinates):
1 Be 0.000 0.000 0.000
2 Tc 0.500 0.500 0.000
3 Pt 0.221 0.721 0.500
4 Pt 0.779 0.279 0.500

Properties
Space group: Immm (71)
Electronic total energy in eV/atom: -6.73
Energy of formation from the pure elements in kJ/mol of formula units: -73
Crystal system: orthorhombic

---

Record 4
Compound: AlBiRuO6
Source: Alexandria via LeMat-Bulk
Functional: PBE
Structure: relaxed

Cell lengths 4.721, 4.721, 9.455 Å; angles 90.00, 90.00, 90.00 degrees
Atoms (fractional coordinates):
1 Al 0.000 0.000 0.000
2 Al 0.500 0.500 0.500
3 Bi 0.000 0.000 0.331
4 Bi 0.500 0.500 0.831
5 Ru 0.000 0.000 0.666
6 Ru 0.500 0.500 0.166
7 O 0.173 0.173 0.838
8 O 0.201 0.201 0.149
9 O 0.204 0.204 0.517
10 O 0.296 0.704 0.017
11 O 0.299 0.701 0.649
12 O 0.327 0.673 0.338
13 O 0.673 0.327 0.338
14 O 0.701 0.299 0.649
15 O 0.704 0.296 0.017
16 O 0.796 0.796 0.517
17 O 0.799 0.799 0.149
18 O 0.827 0.827 0.838

Properties
Space group: P4_2nm (102)
Energy relative to the elements, uncorrected in eV/atom: -1.457
Electronic total energy in eV/atom: -6.64
Crystal system: tetragonal

---

Record 5
Compound: La2SiP
Source: Alexandria via LeMat-Bulk
Functional: PBE
Structure: relaxed

Cell lengths 6.016, 6.016, 6.016 Å; angles 50.77, 50.77, 50.77 degrees
Atoms (fractional coordinates):
1 La 0.000 0.000 0.000
2 La 0.490 0.490 0.490
3 Si 0.678 0.678 0.678
4 P 0.823 0.823 0.823

Properties
Space group: R3m (160)
Energy relative to the elements, uncorrected in eV/atom: -0.642
Electronic total energy in eV/atom: -5.81
Energy relative to the lowest polymorph listed for this composition in kJ/mol of formula units: 199
Crystal system: trigonal

---

Record 6
Compound: TaMnW4
Source: Alexandria via LeMat-Bulk
Functional: PBE
Structure: relaxed

Cell lengths 5.269, 5.269, 5.269 Å; angles 60.00, 60.00, 60.00 degrees
Atoms (fractional coordinates):
1 Ta 0.000 0.000 0.000
2 Mn 0.250 0.250 0.250
3 W 0.125 0.625 0.625
4 W 0.625 0.125 0.625
5 W 0.625 0.625 0.125
6 W 0.625 0.625 0.625

Properties
Space group: F-43m (216)
Electronic total energy in eV/atom: -11.82
Energy of formation from the pure elements in kJ/mol of formula units: 185
Crystal system: cubic

---

Record 7
Compound: Ac2TiTl3S6
Source: Alexandria via LeMat-Bulk
Functional: PBE
Structure: relaxed

Cell lengths 7.228, 7.228, 7.815 Å; angles 98.89, 98.89, 119.77 degrees
Atoms (fractional coordinates):
1 Ac 0.166 0.834 0.000
2 Ac 0.834 0.166 0.000
3 Ti 0.500 0.500 0.000
4 Tl 0.000 0.000 0.500
5 Tl 0.333 0.667 0.500
6 Tl 0.667 0.333 0.500
7 S 0.145 0.435 0.804
8 S 0.275 0.275 0.212
9 S 0.435 0.145 0.804
10 S 0.565 0.855 0.196
11 S 0.725 0.725 0.788
12 S 0.855 0.565 0.196

Properties
Space group: C2/m (12)
Energy relative to the elements, uncorrected in eV/atom: -1.251
Electronic total energy in eV/atom: -5.25
Crystal system: monoclinic

---

Look up the electronic total energy of the second one.
-4.91 eV/atom

---

electronic total energy of number 4 (AlBiRuO6)?
-6.64 eV/atom

---

The highest electronic total energy belongs to which entry?
CuPt4Se